(1)
20
Lattice="5.8738 0.0000 0.0000 0.0000 5.8850 0.0000 -5.8271 0.0000 8.2969" Properties=species:S:1:pos:R:3 comment="PBE TbIrPb2O6, relaxed" n_ef_per_ev_cell=12.80 e_form_raw_ev_per_atom=-1.57 pbc="T T T"
Tb 0.0000 0.0000 0.0000
Tb -2.9135 2.9425 4.1485
Ir 0.0234 0.0000 4.1485
Ir 2.9369 2.9425 0.0000
Pb -2.8453 0.1699 6.2476
Pb 0.0682 2.7726 2.0992
Pb -0.0214 3.1124 6.1977
Pb 2.8921 5.7151 2.0493
O -0.4606 0.0991 2.2215
O -3.3741 2.8434 6.3700
O 1.3776 4.1236 0.3770
O -1.5359 4.7038 4.5255
O 1.8029 1.3440 0.3459
O -1.1106 1.5985 4.4943
O 1.1574 4.2865 3.8026
O -1.7562 4.5410 7.9510
O 1.5827 1.1811 3.7714
O -1.3309 1.7613 7.9199
O 3.4209 3.0416 1.9269
O 0.5073 5.7859 6.0754

=====

(2)
8
Lattice="5.2468 0.0000 0.0000 0.0000 8.8222 0.0000 -1.3421 0.0000 2.6437" Properties=species:S:1:pos:R:3 comment="PBE FeTc2Br, relaxed" polymorph_energy_mev_per_atom=495 n_ef_per_ev_cell=9.72 e_form_raw_ev_per_atom=0.92 pbc="T T T"
Fe 0.0000 0.0000 0.0000
Fe 2.6234 4.4111 0.0000
Tc 0.6407 2.2056 1.3219
Tc 0.6407 6.6167 1.3219
Tc 3.2640 2.2056 1.3219
Tc 3.2640 6.6167 1.3219
Br 0.0000 4.4111 0.0000
Br 2.6234 0.0000 0.0000

=====

(3)
16
Lattice="3.5471 0.0000 0.0000 0.0000 6.0458 0.0000 0.0000 0.0000 12.2026" Properties=species:S:1:pos:R:3 comment="PBE Be2AgAu5, relaxed" n_ef_per_ev_cell=6.04 delta_e_f_mev_per_atom=-64 pbc="T T T"
Be 0.0000 0.0000 2.4690
Be 0.0000 0.0000 9.7335
Be 1.7736 3.0229 3.6322
Be 1.7736 3.0229 8.5703
Ag 0.0000 3.0229 0.0000
Ag 1.7736 0.0000 6.1013
Au 0.0000 0.0000 0.0000
Au 0.0000 1.4896 4.2839
Au 0.0000 1.4896 7.9187
Au 0.0000 4.5562 4.2839
Au 0.0000 4.5562 7.9187
Au 1.7736 1.5333 1.8174
Au 1.7736 1.5333 10.3852
Au 1.7736 3.0229 6.1013
Au 1.7736 4.5125 1.8174
Au 1.7736 4.5125 10.3852

=====

(4)
5
Lattice="4.9876 0.0000 0.0000 0.0000 4.9876 0.0000 0.0000 0.0000 3.8781" Properties=species:S:1:pos:R:3 comment="PBE HfTaP2F, relaxed" n_ef_per_ev_cell=3.12 e_form_raw_ev_per_atom=-0.44 pbc="T T T"
Hf 0.0000 0.0000 0.0000
Ta 2.4938 2.4938 1.9391
P 0.0000 2.4938 0.0000
P 2.4938 0.0000 0.0000
F 0.0000 0.0000 1.9391

=====

(5)
5
Lattice="5.5511 0.0000 0.0000 0.0000 5.5511 0.0000 0.0000 0.0000 5.1277" Properties=species:S:1:pos:R:3 comment="PBE SbRuPtI2, relaxed" polymorph_energy_mev_per_atom=138 n_ef_per_ev_cell=5.24 e_form_raw_ev_per_atom=1.09 pbc="T T T"
Sb 0.0000 0.0000 0.0000
Ru 2.7755 2.7755 0.0000
Pt 0.0000 0.0000 2.5638
I 0.0000 2.7755 2.5638
I 2.7755 0.0000 2.5638

=====

(6)
12
Lattice="7.6992 0.0000 0.0000 0.0000 7.6992 0.0000 0.0000 0.0000 5.9834" Properties=species:S:1:pos:R:3 comment="PBE Th4TlAu, relaxed" polymorph_energy_mev_per_atom=0 n_ef_per_ev_cell=15.93 delta_e_f_mev_per_atom=-230 pbc="T T T"
Th 1.1376 2.6042 0.0000
Th 1.1376 5.0951 2.9917
Th 2.6042 1.1376 2.9917
Th 2.6042 6.5616 0.0000
Th 5.0951 1.1376 0.0000
Th 5.0951 6.5616 2.9917
Th 6.5616 2.6042 2.9917
Th 6.5616 5.0951 0.0000
Tl 3.8496 3.8496 1.4959
Tl 3.8496 3.8496 4.4876
Au 0.0000 0.0000 1.4959
Au 0.0000 0.0000 4.4876